(1)
Compound: La8AsSe3I4
Source: the Alexandria database
Functional: GGA-PBE
Structure: optimized geometry

crystal system	trigonal
space-group type	R-3m, No. 166
raw formation energy	-1.482	eV per atom
magnetization	0.0	μB/f.u.
D(E_F)	10.2	states/eV per cell
raw total energy	-5.277	eV per atom

extended XYZ file:
```
16
Lattice="-3.527 3.576 -7.061 5.339 -5.358 -5.381 -5.048 -3.908 5.859" Properties=species:S:1:pos:R:3 pbc="T T T"
La -1.961 -6.729 0.233
La 0.566 -4.773 -2.700
La -2.035 -2.703 -0.352
La -3.727 -4.939 -3.302
La 0.492 -0.751 -3.281
La -1.200 -2.987 -6.230
La -3.801 -0.917 -3.883
La -1.274 1.039 -6.816
As 2.670 -2.679 -2.690
Se 0.906 -0.891 -6.221
Se -1.618 -2.845 -3.291
Se 0.146 -4.633 0.239
I -1.763 1.788 -3.530
I -4.287 -0.166 -0.601
I 0.000 0.000 0.000
I -2.524 -1.954 2.929
```

---

(2)
Compound: SrMg2
Source: the Alexandria database
Functional: GGA-PBE
Structure: optimized geometry

crystal system	tetragonal
space-group type	I4/mcm, No. 140
formation energy	0.062	eV/atom
magnetization	0.0	μB/f.u.
D(E_F)	3.9	states/eV per cell
raw total energy	-1.562	eV per atom

extended XYZ file:
```
6
Lattice="-2.939 2.939 5.948 2.939 -2.939 5.948 2.939 2.939 -5.948" Properties=species:S:1:pos:R:3 pbc="T T T"
Sr 0.000 0.000 2.974
Sr 0.000 0.000 8.923
Mg 1.034 3.973 0.000
Mg 1.905 1.034 0.000
Mg 1.034 1.905 5.948
Mg 1.905 -1.034 5.948
```